(1)
Entry from Alexandria via LeMat-Bulk: a relaxed structure of TbDy2Er4 (PBE-GGA).

a b c (Å): 5.976 6.535 11.537
angles (deg): 90.00 105.76 90.00
Element x y z (fractional)
Tb 0.169 0.750 0.139
Tb 0.831 0.250 0.861
Dy 0.608 0.750 0.008
Dy 0.713 0.750 0.554
Dy 0.287 0.250 0.446
Dy 0.392 0.250 0.992
Er 0.015 0.250 0.162
Er 0.366 0.506 0.710
Er 0.634 0.006 0.290
Er 0.366 0.994 0.710
Er 0.985 0.750 0.838
Er 0.634 0.494 0.290
Er 0.145 0.750 0.423
Er 0.855 0.250 0.577

Computed properties:
SG: P2_1/m, No. 11
Excess energy over the best structure of this formula in the dataset: 134 meV per atom
Energy relative to the elements: 138 meV/atom



(2)
Entry from Alexandria via LeMat-Bulk: a relaxed structure of Y5Au4 (PBE-GGA).

a b c (Å): 7.435 7.564 16.257
angles (deg): 90.00 90.00 90.00
Element x y z (fractional)
Y 0.447 0.327 0.898
Y 0.947 0.173 0.602
Y 0.100 0.670 0.886
Y 0.600 0.830 0.614
Y 0.053 0.827 0.398
Y 0.053 0.827 0.102
Y 0.100 0.670 0.614
Y 0.447 0.327 0.602
Y 0.553 0.673 0.398
Y 0.553 0.673 0.102
Y 0.231 0.506 0.250
Y 0.900 0.330 0.114
Y 0.269 0.006 0.750
Y 0.400 0.170 0.114
Y 0.769 0.494 0.750
Y 0.600 0.830 0.886
Y 0.400 0.170 0.386
Y 0.900 0.330 0.386
Y 0.731 0.994 0.250
Y 0.947 0.173 0.898
Au 0.861 0.636 0.250
Au 0.401 0.632 0.750
Au 0.639 0.136 0.750
Au 0.774 0.511 0.960
Au 0.726 0.011 0.460
Au 0.774 0.511 0.540
Au 0.901 0.868 0.750
Au 0.274 0.989 0.960
Au 0.361 0.864 0.250
Au 0.226 0.489 0.040
Au 0.226 0.489 0.460
Au 0.726 0.011 0.040
Au 0.274 0.989 0.540
Au 0.599 0.368 0.250
Au 0.099 0.132 0.250
Au 0.139 0.364 0.750

Computed properties:
SG: Pnma, No. 62
Excess energy over the best structure of this formula in the dataset: 0 meV per atom
Energy relative to the elements: -772 meV/atom